Record 1
DFT (GGA-PBEsol) results for crystalline ScFe2Pt at its relaxed geometry.

Lattice parameters (Å, degrees): 2.7683 2.7683 25.9935 90.00 90.00 120.00
With the nearest neighbours (Å) after each atom.
Space group R-3m (No. 166, hexagonal axes)
Unique sites:
Sc  0.0000  0.0000  0.0000  6 Fe 2.74, 6 Sc 2.77
Fe  0.0000  0.0000  0.2477  3 Pt 2.64, 3 Sc 2.74, 6 Fe 2.77
Pt  0.0000  0.0000  0.5000  6 Fe 2.64, 6 Pt 2.77

Energy relative to the elements (eV per atom): 0.164
Uncorrected energy (eV/atom): -7.710
DOS(E_F) (states/eV/f.u.): 3.8

---

Record 2
DFT (GGA-PBEsol) results for crystalline As2WAu at its relaxed geometry.

Lattice parameters (Å, degrees): 3.1363 3.5938 12.7410 90.00 90.00 90.00
With the nearest neighbours (Å) after each atom.
Space group Imm2 (No. 44)
Unique sites:
As  0.0000  0.0000  0.0000  4 W 2.55, 2 Au 2.66
As  0.0000  0.5000  0.2269  2 W 2.53, 4 Au 2.83
W  0.0000  0.0000  0.5712  6 As 2.53-2.55
Au  0.0000  0.5000  0.8459  6 As 2.66-2.83

Energy relative to the elements (eV per atom): 0.304
Uncorrected energy (eV/atom): -6.682
Energy above the lowest structure with this stoichiometry (eV per atom): 0.000
DOS(E_F) (states/eV/f.u.): 2.3

---

Record 3
DFT (GGA-PBEsol) results for crystalline ScHCCl2 at its relaxed geometry.

Lattice parameters (Å, degrees): 4.6225 4.6225 3.4670 90.00 90.00 90.00
With the nearest neighbours (Å) after each atom.
Space group P4/mmm (No. 123)
Unique sites:
Sc  0.0000  0.0000  0.0000  2 H 1.73
H  0.0000  0.0000  0.5000  2 Sc 1.73
C  0.5000  0.5000  0.0000  8 Cl 2.89
Cl  0.0000  0.5000  0.5000  2 H 2.31

Uncorrected energy (eV/atom): -4.027
DOS(E_F) (states/eV/f.u.): 2.4

---

Record 4
DFT (GGA-PBEsol) results for crystalline NdSnIr at its relaxed geometry.

Lattice parameters (Å, degrees): 7.3775 7.3775 4.1333 90.00 90.00 120.00
With the nearest neighbours (Å) after each atom.
Space group P-62m (No. 189)
Unique sites:
Nd  0.0000  0.4130  0.0000  5 Ir 3.04-3.05, 6 Sn 3.23-3.37
Sn  0.0000  0.7494  0.5000  4 Ir 2.77-2.81
Ir  0.0000  0.0000  0.0000  6 Sn 2.77, 3 Nd 3.05
Ir  0.3333  0.6667  0.5000  3 Sn 2.81, 6 Nd 3.04

Energy relative to the elements (eV per atom): -0.794
Uncorrected energy (eV/atom): -7.211
DOS(E_F) (states/eV/f.u.): 1.9

---

Record 5
DFT (GGA-PBEsol) results for crystalline Rb2TlSnSb at its relaxed geometry.

Lattice parameters (Å, degrees): 6.7303 6.7303 5.6554 90.00 90.00 90.00
With the nearest neighbours (Å) after each atom.
Space group P4/mmm (No. 123)
Unique sites:
Rb  0.0000  0.5000  0.0000  2 Sn 3.37
Tl  0.0000  0.0000  0.5000  8 Rb 4.40, 4 Sb 4.76
Sn  0.5000  0.5000  0.0000  2 Sb 2.83
Sb  0.5000  0.5000  0.5000  2 Sn 2.83

Uncorrected energy (eV/atom): -2.431
DOS(E_F) (states/eV/f.u.): 5.0

---

Record 6
DFT (GGA-PBEsol) results for crystalline TeSeBr2 at its relaxed geometry.

Lattice parameters (Å, degrees): 4.1932 7.4601 7.7398 90.00 90.00 90.00
With the nearest neighbours (Å) after each atom.
Space group Cmm2 (No. 35)
Unique sites:
Te  0.0000  0.0000  0.0000  2 Se 2.67, 2 Br 2.87
Se  0.0000  0.5000  0.7863  2 Te 2.67, 2 Br 2.77
Br  0.0000  0.0000  0.5519  2 Se 2.77
Br  0.0000  0.5000  0.2537  2 Te 2.87, 2 Br 3.12

Uncorrected energy (eV/atom): -2.705
Energy above the lowest structure with this stoichiometry (eV per atom): 0.000
DOS(E_F) (states/eV/f.u.): 2.0

---

Question: Which value of DOS(E_F) does entry 2 give?
Answer: 2.3 states/eV/f.u.